{"formula": "HfAg2F", "functional": "PBE", "state": "optimized geometry", "energy_ev_per_atom": -4.783, "formation_energy_uncorrected_ev_per_atom": -0.401, "spacegroup": "No. 122", "rho_g_cm3": 9.648, "e_above_lowest_polymorph_ev_per_fu": 0.00, "lattice": [[7.561, 0.000, 0.000], [0.000, 7.561, 0.000], [3.781, 3.781, 2.488]], "species": ["Hf", "Hf", "Ag", "Ag", "Ag", "Ag", "F", "F"], "frac_coords": [[0.000, 0.000, 0.000], [0.750, 0.250, 0.500], [0.584, 0.125, 0.250], [0.166, 0.625, 0.250], [0.375, 0.416, 0.750], [0.875, 0.834, 0.750], [0.500, 0.500, 0.000], [0.250, 0.750, 0.500]]}